VASP calculation (PBE-GGA) on crystalline AlZnOs2 at its relaxed geometry.

The structure belongs to space group R3m (No. 160, hexagonal axes); the cell edges are 2.7866, 2.7866 and 26.0748 Å and the angles 90.00°, 90.00° and 120.00°. The inequivalent atoms are Al at (0.0000, 0.0000, 0.0000), Zn at (0.0000, 0.0000, 0.7523), Os at (0.0000, 0.0000, 0.2511) and Os at (0.0000, 0.0000, 0.5041).

For the total magnetization, the calculation gives 0.000 Bohr magnetons per cell. The value obtained for the energy relative to the elements is 0.046 eV/atom.

***

VASP calculation (PBE-GGA) on crystalline DyThOsI at its relaxed geometry.

The structure belongs to space group R3m (No. 160, hexagonal axes); the cell edges are 4.1715, 4.1715 and 24.2287 Å and the angles 90.00°, 90.00° and 120.00°. The inequivalent atoms are Dy at (0.0000, 0.0000, 0.0000), Th at (0.0000, 0.0000, 0.2157), Os at (0.0000, 0.0000, 0.6060) and I at (0.0000, 0.0000, 0.7716).

For the total magnetization, the calculation gives 0.000 Bohr magnetons per cell. For the uncorrected formation energy, the calculation gives -633 meV per atom.

***

VASP calculation (PBE-GGA) on crystalline Si2SbIr at its relaxed geometry.

The structure belongs to space group Cm (No. 8); the cell edges are 8.163, 3.379 and 5.983 Å and the angles 90.00°, 108.58° and 90.00°. The inequivalent atoms are Si at (0.000, 0.000, 0.000), Si at (0.151, 0.000, 0.682), Sb at (0.294, 0.500, 0.289) and Ir at (0.445, 0.000, 0.688).

For the total magnetization, the calculation gives 0.000 Bohr magnetons per cell. For the uncorrected formation energy, the calculation gives -72 meV per atom.

***

VASP calculation (PBE-GGA) on crystalline NiPt2Rh at its relaxed geometry.

The structure belongs to space group Cmm2 (No. 35); the cell edges are 2.709, 4.671 and 9.231 Å and the angles 90.00°, 90.00° and 90.00°. The inequivalent atoms are Ni at (0.000, 0.000, 0.000), Pt at (0.000, 0.000, 0.511), Pt at (0.000, 0.500, 0.239) and Rh at (0.000, 0.500, 0.771).

For the total magnetization, the calculation gives 1.887 Bohr magnetons per cell. The value obtained for the energy relative to the elements is 0.093 eV/atom.

***

VASP calculation (PBE-GGA) on crystalline LaTb2Pr2Dy at its relaxed geometry.

The structure belongs to space group Pmma (No. 51); the cell edges are 7.108, 5.771 and 9.986 Å and the angles 90.00°, 90.00° and 90.00°. The inequivalent atoms are La at (0.000, 0.000, 0.000), Tb at (0.250, 0.000, 0.334), Tb at (0.250, 0.500, 0.832), Pr at (0.000, 0.500, 0.500), Pr at (0.250, 0.000, 0.668) and Dy at (0.250, 0.500, 0.166).

For the total magnetization, the calculation gives 0.000 Bohr magnetons per cell. The value obtained for the energy relative to the elements is 0.061 eV/atom.

***

VASP calculation (PBE-GGA) on crystalline LiY2Cd at its relaxed geometry.

The structure belongs to space group I-42d (No. 122); the cell edges are 8.303, 8.303 and 6.195 Å and the angles 90.00°, 90.00° and 90.00°. The inequivalent atoms are Li at (0.000, 0.000, 0.000), Y at (0.239, 0.750, 0.125) and Cd at (0.000, 0.000, 0.500).

For the total magnetization, the calculation gives 1.637 Bohr magnetons per cell. The energy relative to the lowest polymorph listed for this composition comes out at 333 meV/atom. The value obtained for the energy relative to the elements is 0.184 eV/atom.

***

VASP calculation (PBE-GGA) on crystalline AcZrS3 at its relaxed geometry.

The structure belongs to space group C2/m (No. 12); the cell edges are 14.880, 3.875 and 10.622 Å and the angles 90.00°, 126.03° and 90.00°. The inequivalent atoms are Ac at (0.081, 0.000, 0.402), Zr at (0.250, 0.000, 0.862), S at (0.112, 0.500, 0.666), S at (0.123, 0.000, 0.954) and S at (0.178, 0.500, 0.308).

For the total magnetization, the calculation gives 0.012 Bohr magnetons per cell. For the uncorrected formation energy, the calculation gives -1779 meV per atom. The energy relative to the lowest polymorph listed for this composition comes out at 0 meV/atom.

***

VASP calculation (PBE-GGA) on crystalline LuHgPd at its relaxed geometry.

The structure belongs to space group P3m1 (No. 156); the cell edges are 4.6892, 4.6892 and 3.3606 Å and the angles 90.00°, 90.00° and 120.00°. The inequivalent atoms are Lu at (0.0000, 0.0000, 0.0000), Hg at (0.3333, 0.6667, 0.4997) and Pd at (0.6667, 0.3333, 0.5017).

For the total magnetization, the calculation gives 0.000 Bohr magnetons per cell. The value obtained for the energy relative to the elements is -0.572 eV/atom.

***

VASP calculation (PBE-GGA) on crystalline PdCl2O2 at its relaxed geometry.

The structure belongs to space group C2/m (No. 12); the cell edges are 7.936, 3.412 and 10.943 Å and the angles 90.00°, 95.39° and 90.00°. The inequivalent atoms are Pd at (0.000, 0.000, 0.000), Cl at (0.015, 0.500, 0.146) and O at (0.058, 0.500, 0.542).

For the total magnetization, the calculation gives 4.000 Bohr magnetons per cell. For the uncorrected formation energy, the calculation gives -256 meV per atom.

***

VASP calculation (PBE-GGA) on crystalline SrPr5Tl6 at its relaxed geometry.

The structure belongs to space group C2/m (No. 12); the cell edges are 18.594, 5.588 and 7.909 Å and the angles 90.00°, 115.10° and 90.00°. The inequivalent atoms are Sr at (0.000, 0.000, 0.000), Pr at (0.000, 0.000, 0.500), Pr at (0.161, 0.500, 0.161), Pr at (0.170, 0.500, 0.670), Tl at (0.000, 0.500, 0.260), Tl at (0.168, 0.000, 0.423) and Tl at (0.169, 0.000, 0.914).

For the total magnetization, the calculation gives 0.000 Bohr magnetons per cell. The value obtained for the energy relative to the elements is -0.382 eV/atom.

***

VASP calculation (PBE-GGA) on crystalline Gd3CoSb at its relaxed geometry.

The structure belongs to space group Pm-3m (No. 221); the cell edges are 5.152, 5.152 and 5.152 Å and the angles 90.00°, 90.00° and 90.00°. The inequivalent atoms are Gd at (0.000, 0.000, 0.500), Co at (0.000, 0.000, 0.000) and Sb at (0.500, 0.500, 0.500).

For the total magnetization, the calculation gives 21.941 Bohr magnetons per cell. For the uncorrected formation energy, the calculation gives -441 meV per atom.

***

VASP calculation (PBE-GGA) on crystalline SmHo2Rh4 at its relaxed geometry.

The structure belongs to space group P4/mmm (No. 123); the cell edges are 4.682, 4.682 and 6.686 Å and the angles 90.00°, 90.00° and 90.00°. The inequivalent atoms are Sm at (0.000, 0.000, 0.000), Ho at (0.000, 0.000, 0.500), Ho at (0.500, 0.500, 0.000) and Rh at (0.000, 0.500, 0.260).

For the total magnetization, the calculation gives 0.000 Bohr magnetons per cell. The value obtained for the energy relative to the elements is -0.432 eV/atom.